Compound: LaSc2Mo
Source: Alexandria via LeMat-Bulk
Functional: GGA-PBE
Structure: optimized geometry

- energy (eV/cell) = -26.80
- excess energy over the best structure of this formula in the dataset (meV/atom) = 251
- energy of formation (eV per atom) = 0.40

CIF file:
```
data_LaSc2Mo
_space_group_name_H-M_alt 'P 1 2/m 1'
_space_group_IT_number 10
_cell_length_a 5.736
_cell_length_b 3.029
_cell_length_c 5.834
_cell_angle_alpha 90.00
_cell_angle_beta 115.96
_cell_angle_gamma 90.00
loop_
_space_group_symop_operation_xyz
'x,y,z'
'-x,-y,-z'
'-x,y,-z'
'x,-y,z'
loop_
_atom_site_label
_atom_site_type_symbol
_atom_site_fract_x
_atom_site_fract_y
_atom_site_fract_z
La1 La 0.000 0.000 0.000
Sc1 Sc 0.000 0.500 0.500
Sc2 Sc 0.500 0.000 0.500
Mo1 Mo 0.500 0.500 0.000
```